(1)
# SrPtS2Cl (PBE, relaxed)
data_SrPtS2Cl
_chemical_formula_sum 'Sr1 Pt1 S2 Cl1'
_cell_length_a 5.6909
_cell_length_b 5.6909
_cell_length_c 5.3711
_cell_angle_alpha 90.00
_cell_angle_beta 90.00
_cell_angle_gamma 90.00
_space_group_name_H-M_alt 'P 4/m m m'
_space_group_IT_number 123
_space_group_name_Hall '-P 4 2'
loop_
_atom_site_label
_atom_site_fract_x
_atom_site_fract_y
_atom_site_fract_z
Sr1 0.0000 0.0000 0.0000
Pt1 0.5000 0.5000 0.5000
S1 0.0000 0.5000 0.0000
Cl1 0.0000 0.0000 0.5000
# Uncorrected energy ... -3.018 eV/atom
# Uncorrected formation energy ... 0.547 eV per atom
# N(E_F) ... 8.71 states/eV per cell

***

(2)
# SrPtS2Cl (PBE, relaxed)
data_SrPtS2Cl
_chemical_formula_sum 'Sr1 Pt1 S2 Cl1'
_cell_length_a 4.8138
_cell_length_b 4.8138
_cell_length_c 4.9319
_cell_angle_alpha 90.00
_cell_angle_beta 90.00
_cell_angle_gamma 90.00
_space_group_name_H-M_alt 'P 4/m m m'
_space_group_IT_number 123
_space_group_name_Hall '-P 4 2'
loop_
_atom_site_label
_atom_site_fract_x
_atom_site_fract_y
_atom_site_fract_z
Sr1 0.0000 0.0000 0.0000
Pt1 0.5000 0.5000 0.5000
S1 0.0000 0.5000 0.5000
Cl1 0.5000 0.5000 0.0000
# Uncorrected energy ... -4.386 eV/atom
# Uncorrected formation energy ... -0.821 eV per atom
# N(E_F) ... 5.20 states/eV per cell

***

(3)
# SrPtSCl2 (PBE, relaxed)
data_SrPtSCl2
_chemical_formula_sum 'Sr1 Pt1 S1 Cl2'
_cell_length_a 4.8911
_cell_length_b 4.8911
_cell_length_c 4.9318
_cell_angle_alpha 90.00
_cell_angle_beta 90.00
_cell_angle_gamma 90.00
_space_group_name_H-M_alt 'P 4/m m m'
_space_group_IT_number 123
_space_group_name_Hall '-P 4 2'
loop_
_atom_site_label
_atom_site_fract_x
_atom_site_fract_y
_atom_site_fract_z
Sr1 0.0000 0.0000 0.0000
Pt1 0.5000 0.5000 0.5000
S1 0.5000 0.5000 0.0000
Cl1 0.0000 0.5000 0.5000
# Uncorrected energy ... -4.104 eV/atom
# Uncorrected formation energy ... -0.995 eV per atom
# N(E_F) ... 0.89 states/eV per cell